[1]
First-principles (PBE) data for KLi2Rh after structural relaxation, as listed in Alexandria via LeMat-Bulk.

abc: 5.2673 5.2673 8.8197
angles: 72.63 72.63 90.00
Fractional positions:
K 0.2500 0.7500 0.5000
Li 0.8810 0.1250 0.2500
Li 0.3750 0.1190 0.7500
Rh 0.0000 0.0000 0.0000
Li 0.8750 0.1310 0.7500
K 0.5000 0.5000 0.0000
Li 0.8690 0.6250 0.2500
Rh 0.7500 0.2500 0.5000

## Properties
Magnetic moment, μB/f.u.: 0.0
Calculated density, g/cm³: 2.3
Energy of formation from the pure elements, eV per atom: 0.445
Space group: No. 122
Energy, eV/atom: -2.6239

***

[2]
First-principles (PBE) data for Nb3Ir2Os3 after structural relaxation, as listed in Alexandria via LeMat-Bulk.

abc: 3.8712 3.9578 8.2286
angles: 90.00 90.00 90.00
Fractional positions:
Nb 0.5000 0.0000 0.0000
Ir 0.0000 0.0000 0.2577
Os 0.0000 0.5000 0.5000
Nb 0.5000 0.5000 0.7293
Os 0.5000 0.0000 0.5000
Nb 0.5000 0.5000 0.2707
Ir 0.0000 0.0000 0.7423
Os 0.0000 0.5000 0.0000

## Properties
Magnetic moment, μB/f.u.: 0.0
Calculated density, g/cm³: 16.3
Energy of formation from the pure elements, eV per atom: -0.295
Space group: No. 47
Energy, eV/atom: -10.4975